BaTlCo2 | Alexandria | SCAN | single point on PBEsol structure; space group = P2/m, No. 10
1.0
4.144 0.000 0.043
0.000 4.517 0.000
-0.287 0.000 5.478
Co Tl Ba
2 1 1
direct
0.244 0.000 0.073
0.756 0.000 0.927
0.500 0.500 0.000
0.000 0.500 0.500

BaCoW2 | Alexandria | SCAN | single point on PBEsol structure; space group = Cmmm, No. 65; polymorph energy (0 for the lowest one) = 0.6833 eV per atom
1.0
2.784 0.000 0.000
0.000 5.232 0.000
0.000 -2.616 5.164
W Co Ba
2 1 1
direct
0.000 0.000 0.500
0.000 0.500 0.500
0.500 0.500 0.000
0.500 0.000 0.000

BaCoW | Alexandria | SCAN | single point on PBEsol structure; space group = P3m1, No. 156
1.0
3.941 0.000 0.000
-1.971 3.413 0.000
0.000 0.000 5.281
W Ba Co
1 1 1
direct
0.667 0.333 0.477
0.000 0.000 0.995
0.333 0.667 0.528

BaCo2W | Alexandria | SCAN | single point on PBEsol structure; space group = Imm2, No. 44; polymorph energy (0 for the lowest one) = 0.0000 eV per atom
1.0
3.483 0.000 0.000
0.000 3.476 0.000
-1.741 -1.738 6.564
Ba Co W
1 2 1
direct
0.294 0.794 0.588
0.647 0.147 0.295
0.029 0.029 0.057
0.530 0.530 0.060

Formation enthalpy at 0 K
In order: 0.447 1.776 0.905 0.885
Unit: eV/atom